(1)
Compound: Be2AsRu
Source: Alexandria
Functional: GGA-PBEsol
Structure: relaxed

```
data_Be2AsRu
_cell_length_a 2.905
_cell_length_b 4.538
_cell_length_c 7.620
_cell_angle_alpha 90.00
_cell_angle_beta 90.00
_cell_angle_gamma 90.00
_space_group_name_H-M_alt 'C m m 2'
_space_group_IT_number 35
_space_group_name_Hall 'C 2 -2'
loop_
_atom_site_label
_atom_site_type_symbol
_atom_site_fract_x
_atom_site_fract_y
_atom_site_fract_z
Be1 Be 0.000 0.000 0.000
Be2 Be 0.000 0.500 0.218
As1 As 0.000 0.500 0.720
Ru1 Ru 0.000 0.000 0.448
```

Calculated formation energy ... 169.5 kJ/mol of formula units

***

(2)
Compound: BeSbAsSe2
Source: Alexandria
Functional: GGA-PBEsol
Structure: relaxed

```
data_BeSbAsSe2
_cell_length_a 5.189
_cell_length_b 5.189
_cell_length_c 5.230
_cell_angle_alpha 90.00
_cell_angle_beta 90.00
_cell_angle_gamma 90.00
_space_group_name_H-M_alt 'P 4/m m m'
_space_group_IT_number 123
_space_group_name_Hall '-P 4 2'
loop_
_atom_site_label
_atom_site_type_symbol
_atom_site_fract_x
_atom_site_fract_y
_atom_site_fract_z
Be1 Be 0.000 0.000 0.000
Sb1 Sb 0.500 0.500 0.500
As1 As 0.500 0.500 0.000
Se1 Se 0.000 0.500 0.500
```

E_form (uncorrected) ... 26.002 kcal/mol of atoms